Compound: KBeAl
Source: Alexandria via LeMat-Bulk
Functional: PBE
Structure: optimized geometry

a b c (Å): 5.211 5.211 5.211
angles (deg): 60.00 60.00 60.00
Element x y z (fractional)
Be 0.500 0.500 0.500
K 0.250 0.250 0.250
Al 0.000 0.000 0.000

=====

Compound: TbPd4Au8
Source: Alexandria via LeMat-Bulk
Functional: PBE
Structure: optimized geometry

a b c (Å): 5.627 7.136 7.136
angles (deg): 81.06 66.78 66.78
Element x y z (fractional)
Tb 0.000 0.000 0.000
Pd 0.000 0.000 0.500
Pd 0.500 0.000 0.500
Pd 0.000 0.500 0.000
Pd 0.500 0.500 0.000
Au 0.000 0.334 0.666
Au 0.000 0.666 0.334
Au 0.334 0.666 0.666
Au 0.666 0.334 0.334
Au 0.500 0.783 0.217
Au 0.500 0.217 0.783
Au 0.283 0.217 0.217
Au 0.717 0.783 0.783

=====

Compound: CaRhPb2
Source: Alexandria via LeMat-Bulk
Functional: PBE
Structure: optimized geometry

a b c (Å): 5.042 5.042 5.746
angles (deg): 71.82 71.82 46.38
Element x y z (fractional)
Pb 0.026 0.026 0.947
Pb 0.474 0.474 0.553
Ca 0.250 0.250 0.250
Rh 0.750 0.750 0.750

=====

Compound: Sc5CdRh4
Source: Alexandria via LeMat-Bulk
Functional: PBE
Structure: optimized geometry

a b c (Å): 3.241 3.241 17.009
angles (deg): 90.00 90.00 90.00
Element x y z (fractional)
Sc 0.500 0.500 0.122
Sc 0.500 0.500 0.310
Sc 0.500 0.500 0.500
Sc 0.500 0.500 0.690
Sc 0.500 0.500 0.878
Cd 0.000 0.000 0.000
Rh 0.000 0.000 0.213
Rh 0.000 0.000 0.405
Rh 0.000 0.000 0.595
Rh 0.000 0.000 0.787

=====

Electronic total energy? In order: -4.09, -55.09, -17.77, -70.74 eV per cell.